DFT (PBE) results for a geometry-optimized Li4PmSc structure.

Computed properties:
- symmetry = F-43m, No. 216
- formation enthalpy at 0 K (eV/atom) = 0.14
- D(E_F) (states/eV/cell) = 6.150
- energy (eV/atom) = -2.9853

abc: 5.749 5.749 5.749
angles: 60.00 60.00 60.00
Positions (direct):
Sc1 0.000 0.000 0.000
Li1 0.626 0.626 0.626
Li2 0.121 0.626 0.626
Li3 0.626 0.626 0.121
Li4 0.626 0.121 0.626
Pm1 0.250 0.250 0.250

DFT (PBE) results for a geometry-optimized Be2Cl structure.

Computed properties:
- symmetry = P-1, No. 2
- offset from the most stable computed form (kJ per mole of atoms) = 12.5
- D(E_F) (states/eV/cell) = 1.277
- energy (eV/atom) = -3.3019
- ΔE_f (raw) (eV per atom) = -0.202

abc: 3.043 3.090 10.280
angles: 99.03 97.81 89.99
Positions (direct):
Be1 0.500 0.500 0.000
Be2 0.084 0.595 0.184
Be3 0.000 0.000 0.000
Cl1 0.142 0.161 0.310
Be4 0.916 0.405 0.816
Cl2 0.858 0.839 0.690

DFT (PBE) results for a geometry-optimized Gd3Tl5Te12 structure.

Computed properties:
- symmetry = Ia-3d, No. 230
- D(E_F) (states/eV/cell) = 23.271
- energy (eV/atom) = -5.0901
- ΔE_f (raw) (eV per atom) = -0.501

abc: 15.691 15.691 15.691
angles: 109.47 109.47 109.47
Site moments in Bohr magnetons follow the coordinates.
Positions (direct):
Tl1 0.500 0.500 0.000  0.00
Te1 0.412 0.144 0.584  -0.01
Gd1 0.750 0.375 0.125  6.94
Tl2 0.500 0.500 0.500  0.00
Te2 0.231 0.672 0.088  -0.01
Tl3 0.000 0.500 0.500  0.00
Te3 0.144 0.731 0.560  -0.01
Gd2 0.250 0.625 0.875  6.94
Te4 0.172 0.084 0.940  -0.01
Te5 0.731 0.144 0.060  -0.01
Te6 0.416 0.060 0.328  -0.01
Te7 0.328 0.560 0.416  -0.01
Te8 0.356 0.416 0.088  -0.01
Te9 0.940 0.584 0.172  -0.01
Te10 0.060 0.644 0.731  -0.01
Te11 0.828 0.912 0.269  -0.01
Gd3 0.375 0.750 0.625  6.94
Te12 0.084 0.172 0.440  -0.01
Tl4 0.375 0.250 0.125  0.00
Te13 0.084 0.912 0.144  -0.01
Te14 0.672 0.231 0.588  -0.01
Tl5 0.625 0.750 0.875  0.00
Tl6 0.250 0.375 0.625  0.00
Te15 0.269 0.856 0.940  -0.01
Te16 0.916 0.088 0.856  -0.01
Te17 0.144 0.412 0.084  -0.01
Te18 0.412 0.269 0.328  -0.01
Te19 0.328 0.769 0.412  -0.01
Te20 0.644 0.584 0.912  -0.01
Tl7 0.000 0.000 0.000  0.00
Te21 0.588 0.731 0.672  -0.01
Te22 0.584 0.940 0.672  -0.01
Tl8 0.000 0.500 0.000  0.00
Tl9 0.875 0.625 0.750  0.00
Te23 0.231 0.560 0.644  -0.01
Te24 0.588 0.856 0.416  -0.01
Te25 0.672 0.440 0.584  -0.01
Te26 0.828 0.916 0.060  -0.01
Te27 0.769 0.440 0.356  -0.01
Tl10 0.375 0.125 0.750  0.00
Gd4 0.375 0.625 0.250  6.94
Te28 0.916 0.828 0.560  -0.01
Gd5 0.625 0.375 0.750  6.94
Tl11 0.125 0.375 0.250  0.00
Te29 0.769 0.328 0.912  -0.01
Tl12 0.500 0.000 0.000  0.00
Tl13 0.750 0.625 0.375  0.00
Te30 0.856 0.269 0.440  -0.01
Te31 0.856 0.588 0.916  -0.01
Tl14 0.500 0.000 0.500  0.00
Gd6 0.750 0.875 0.625  6.94
Te32 0.731 0.588 0.172  -0.01
Te33 0.940 0.356 0.269  -0.01
Tl15 0.000 0.000 0.500  0.00
Tl16 0.875 0.250 0.625  0.00
Gd7 0.125 0.250 0.875  6.94
Tl17 0.750 0.125 0.875  0.00
Gd8 0.625 0.250 0.375  6.94
Te34 0.912 0.084 0.644  -0.01
Te35 0.088 0.172 0.231  -0.01
Te36 0.560 0.328 0.916  -0.01
Gd9 0.250 0.125 0.375  6.94
Gd10 0.875 0.125 0.250  6.94
Tl18 0.125 0.750 0.375  0.00
Te37 0.060 0.416 0.828  -0.01
Te38 0.269 0.412 0.828  -0.01
Te39 0.560 0.231 0.144  -0.01
Gd11 0.125 0.875 0.750  6.94
Gd12 0.875 0.750 0.125  6.94
Te40 0.584 0.644 0.412  -0.01
Te41 0.416 0.356 0.588  -0.01
Te42 0.356 0.940 0.769  -0.01
Tl19 0.250 0.875 0.125  0.00
Te43 0.172 0.088 0.731  -0.01
Te44 0.088 0.916 0.356  -0.01
Tl20 0.625 0.875 0.250  0.00
Te45 0.440 0.672 0.084  -0.01
Te46 0.644 0.060 0.231  -0.01
Te47 0.440 0.769 0.856  -0.01
Te48 0.912 0.828 0.769  -0.01

DFT (PBE) results for a geometry-optimized Tl2PdI2Br4 structure.

Computed properties:
- symmetry = C2/m, No. 12
- energy (eV/atom) = -2.6594
- ΔE_f (raw) (eV per atom) = -0.469

abc: 8.190 7.199 7.199
angles: 62.87 59.98 59.98
Positions (direct):
Br1 0.326 0.194 0.719
Tl1 0.740 0.260 0.260
I1 0.183 0.264 0.264
Pd1 0.500 0.000 0.000
Tl2 0.260 0.740 0.740
Br2 0.674 0.281 0.806
Br3 0.326 0.719 0.194
Br4 0.674 0.806 0.281
I2 0.817 0.736 0.736

DFT (PBE) results for a geometry-optimized Cr2Rh3 structure.

Computed properties:
- symmetry = Fdd2, No. 43
- offset from the most stable computed form (kJ per mole of atoms) = 9.4
- formation enthalpy at 0 K (eV/atom) = 0.02
- D(E_F) (states/eV/cell) = 12.286
- energy (eV/atom) = -8.2439

abc: 7.806 6.763 5.095
angles: 81.02 58.84 40.14
Site moments in Bohr magnetons follow the coordinates.
Positions (direct):
Rh1 0.509 0.784 0.900  -0.01
Rh2 0.166 0.334 0.334  -0.01
Rh3 0.916 0.084 0.084  -0.01
Cr1 0.056 0.350 0.883  0.08
Rh4 0.466 0.741 0.443  -0.01
Rh5 0.807 0.900 0.784  -0.01
Cr2 0.367 0.539 0.194  0.08
Rh6 0.350 0.443 0.741  -0.01
Cr3 0.711 0.883 0.350  0.08
Cr4 0.900 0.194 0.539  0.08

DFT (PBE) results for a geometry-optimized CeTmZr2As4 structure.

Computed properties:
- symmetry = P2/m, No. 10
- formation enthalpy at 0 K (eV/atom) = -1.30
- D(E_F) (states/eV/cell) = 5.561
- energy (eV/atom) = -7.0643

abc: 3.983 6.891 6.951
angles: 109.34 90.00 90.00
Positions (direct):
As1 0.000 0.241 0.735
As2 0.000 0.759 0.265
Zr1 0.500 0.000 0.500
As3 0.500 0.749 0.738
Zr2 0.000 0.500 0.500
Ce1 0.500 0.500 0.000
Tm1 0.000 0.000 0.000
As4 0.500 0.251 0.262

DFT (PBE) results for a geometry-optimized Sc5Mn3Al12 structure.

Computed properties:
- symmetry = Ia-3d, No. 230
- formation enthalpy at 0 K (eV/atom) = 0.45
- D(E_F) (states/eV/cell) = 61.275
- energy (eV/atom) = -4.7537

abc: 13.670 13.670 13.670
angles: 109.47 109.47 109.47
Site moments in Bohr magnetons follow the coordinates.
Positions (direct):
Al1 0.925 0.071 0.657  -0.01
Al2 0.657 0.571 0.925  -0.01
Sc1 0.500 0.000 0.500  0.07
Al3 0.732 0.157 0.086  -0.01
Al4 0.157 0.425 0.071  -0.01
Mn1 0.750 0.875 0.625  3.31
Al5 0.586 0.232 0.157  -0.01
Al6 0.914 0.571 0.146  -0.01
Al7 0.157 0.732 0.586  -0.01
Al8 0.425 0.268 0.354  -0.01
Al9 0.146 0.071 0.914  -0.01
Al10 0.854 0.925 0.268  -0.01
Al11 0.929 0.854 0.586  -0.01
Al12 0.232 0.586 0.657  -0.01
Al13 0.354 0.586 0.429  -0.01
Al14 0.232 0.646 0.075  -0.01
Al15 0.914 0.343 0.268  -0.01
Al16 0.146 0.075 0.732  -0.01
Al17 0.843 0.268 0.414  -0.01
Sc2 0.125 0.375 0.250  0.12
Sc3 0.875 0.625 0.750  0.12
Al18 0.768 0.354 0.925  -0.01
Mn2 0.375 0.750 0.625  3.31
Sc4 0.875 0.250 0.625  0.12
Mn3 0.625 0.250 0.375  3.31
Sc5 0.000 0.500 0.500  0.07
Al19 0.925 0.854 0.768  -0.01
Mn4 0.875 0.125 0.250  3.31
Mn5 0.375 0.625 0.250  3.31
Sc6 0.750 0.625 0.375  0.12
Sc7 0.000 0.500 0.000  0.07
Al20 0.071 0.925 0.157  -0.01
Al21 0.354 0.768 0.425  -0.01
Sc8 0.000 0.000 0.000  0.07
Al22 0.768 0.414 0.343  -0.01
Al23 0.732 0.575 0.146  -0.01
Sc9 0.000 0.000 0.500  0.07
Mn6 0.125 0.875 0.750  3.31
Mn7 0.250 0.125 0.375  3.31
Sc10 0.750 0.125 0.875  0.12
Al24 0.646 0.232 0.575  -0.01
Al25 0.429 0.086 0.354  -0.01
Al26 0.571 0.657 0.425  -0.01
Al27 0.414 0.646 0.071  -0.01
Al28 0.586 0.354 0.929  -0.01
Sc11 0.625 0.750 0.875  0.12
Al29 0.086 0.657 0.732  -0.01
Sc12 0.250 0.375 0.625  0.12
Sc13 0.500 0.500 0.000  0.07
Al30 0.086 0.429 0.854  -0.01
Al31 0.575 0.843 0.429  -0.01
Al32 0.071 0.146 0.414  -0.01
Sc14 0.500 0.000 0.000  0.07
Al33 0.075 0.929 0.343  -0.01
Al34 0.575 0.732 0.646  -0.01
Al35 0.429 0.343 0.575  -0.01
Al36 0.657 0.086 0.232  -0.01
Mn8 0.625 0.375 0.750  3.31
Al37 0.843 0.575 0.929  -0.01
Al38 0.343 0.914 0.768  -0.01
Sc15 0.125 0.750 0.375  0.12
Mn9 0.125 0.250 0.875  3.31
Sc16 0.375 0.125 0.750  0.12
Al39 0.414 0.768 0.843  -0.01
Mn10 0.250 0.625 0.875  3.31
Al40 0.571 0.914 0.646  -0.01
Al41 0.854 0.929 0.086  -0.01
Al42 0.075 0.146 0.232  -0.01
Al43 0.646 0.414 0.571  -0.01
Al44 0.268 0.843 0.914  -0.01
Mn11 0.750 0.375 0.125  3.31
Sc17 0.250 0.875 0.125  0.12
Al45 0.268 0.425 0.854  -0.01
Mn12 0.875 0.750 0.125  3.31
Al46 0.425 0.157 0.571  -0.01
Sc18 0.500 0.500 0.500  0.07
Sc19 0.625 0.875 0.250  0.12
Sc20 0.375 0.250 0.125  0.12
Al47 0.343 0.429 0.075  -0.01
Al48 0.929 0.075 0.843  -0.01

DFT (PBE) results for a geometry-optimized ScSn2Sb2 structure.

Computed properties:
- symmetry = P4/mbm, No. 127
- D(E_F) (states/eV/cell) = 8.239
- energy (eV/atom) = -4.5516
- ΔE_f (raw) (eV per atom) = -0.035

abc: 7.928 7.928 4.305
angles: 90.00 90.00 90.00
Positions (direct):
Sb1 0.677 0.823 0.500
Sb2 0.823 0.323 0.500
Sc1 0.500 0.500 0.000
Sc2 0.000 0.000 0.000
Sn1 0.136 0.364 0.000
Sn2 0.364 0.864 0.000
Sb3 0.177 0.677 0.500
Sb4 0.323 0.177 0.500
Sn3 0.636 0.136 0.000
Sn4 0.864 0.636 0.000

DFT (PBE) results for a geometry-optimized CeNpPdPt structure.

Computed properties:
- symmetry = F-43m, No. 216
- formation enthalpy at 0 K (eV/atom) = -0.65
- D(E_F) (states/eV/cell) = 10.335
- energy (eV/atom) = -8.1781

abc: 4.767 4.767 4.767
angles: 60.00 60.00 60.00
Site moments in Bohr magnetons follow the coordinates.
Positions (direct):
Ce1 0.000 0.000 0.000  0.54
Np1 0.250 0.250 0.250  3.41
Pt1 0.500 0.500 0.500  -0.13
Pd1 0.750 0.750 0.750  -0.07

DFT (PBE) results for a geometry-optimized Ba3P structure.

Computed properties:
- symmetry = P-6m2, No. 187
- offset from the most stable computed form (kJ per mole of atoms) = 6.9
- formation enthalpy at 0 K (eV/atom) = -0.51
- D(E_F) (states/eV/cell) = 1.790
- energy (eV/atom) = -3.3058

abc: 4.565 4.565 11.740
angles: 90.00 90.00 120.00
Site moments in Bohr magnetons follow the coordinates.
Positions (direct):
Ba1 0.000 0.000 0.596  0.04
Ba2 0.667 0.333 0.250  0.09
Ba3 0.000 0.000 0.904  0.04
P1 0.667 0.333 0.750  0.03

DFT (PBE) results for a geometry-optimized Sc4Al2Hg structure.

Computed properties:
- symmetry = R-3m, No. 166
- offset from the most stable computed form (kJ per mole of atoms) = 0.0
- formation enthalpy at 0 K (eV/atom) = -0.24
- D(E_F) (states/eV/cell) = 6.597
- energy (eV/atom) = -4.9705

abc: 4.829 4.829 8.247
angles: 72.98 72.98 60.00
Positions (direct):
Sc1 0.131 0.131 0.608
Hg1 0.000 0.000 0.000
Al1 0.748 0.748 0.755
Sc2 0.384 0.384 0.847
Sc3 0.869 0.869 0.392
Al2 0.252 0.252 0.245
Sc4 0.616 0.616 0.153

DFT (PBE) results for a geometry-optimized Fe2PbCS structure.

Computed properties:
- symmetry = P4/mmm, No. 123
- D(E_F) (states/eV/cell) = 5.105
- energy (eV/atom) = -5.6040
- ΔE_f (raw) (eV per atom) = 1.193

abc: 4.449 3.772 4.449
angles: 90.00 90.00 90.00
Site moments in Bohr magnetons follow the coordinates.
Positions (direct):
Fe1 0.000 0.000 0.500  2.09
Pb1 0.500 0.500 0.500  -0.08
Fe2 0.500 0.000 0.000  2.50
S1 0.000 0.000 0.000  -0.01
C1 0.000 0.500 0.000  0.05

DFT (PBE) results for a geometry-optimized Mg6TiMo structure.

Computed properties:
- symmetry = Amm2, No. 38
- offset from the most stable computed form (kJ per mole of atoms) = 0.0
- formation enthalpy at 0 K (eV/atom) = 0.17
- D(E_F) (states/eV/cell) = 4.774
- energy (eV/atom) = -3.3621

abc: 6.305 6.305 4.795
angles: 90.00 90.00 123.07
Positions (direct):
Mg1 0.184 0.332 0.000
Mo1 0.301 0.699 0.500
Mg2 0.672 0.328 0.000
Ti1 0.201 0.799 0.000
Mg3 0.668 0.816 0.000
Mg4 0.826 0.174 0.500
Mg5 0.318 0.169 0.500
Mg6 0.831 0.682 0.500

DFT (PBE) results for a geometry-optimized SmPa3N6 structure.

Computed properties:
- symmetry = Cmmm, No. 65
- offset from the most stable computed form (kJ per mole of atoms) = 19.5
- D(E_F) (states/eV/cell) = 5.362
- energy (eV/atom) = -9.7591
- ΔE_f (raw) (eV per atom) = -1.443

abc: 3.695 6.871 6.871
angles: 110.43 90.00 90.00
Positions (direct):
N1 0.000 0.928 0.669
Pa1 0.500 0.000 0.500
Pa2 0.500 0.500 0.000
N2 0.500 0.346 0.654
N3 0.000 0.669 0.928
N4 0.000 0.331 0.072
Sm1 0.000 0.500 0.500
Pa3 0.000 0.000 0.000
N5 0.500 0.654 0.346
N6 0.000 0.072 0.331

DFT (PBE) results for a geometry-optimized PuMnCo structure.

Computed properties:
- symmetry = P3m1, No. 156
- offset from the most stable computed form (kJ per mole of atoms) = 53.6
- formation enthalpy at 0 K (eV/atom) = 0.43
- D(E_F) (states/eV/cell) = 8.751
- energy (eV/atom) = -9.7689

abc: 2.856 4.358 4.358
angles: 120.00 90.00 90.00
Site moments in Bohr magnetons follow the coordinates.
Positions (direct):
Mn1 0.045 0.667 0.333  2.68
Pu1 0.657 0.333 0.667  4.47
Co1 0.298 0.000 0.000  0.87

DFT (PBE) results for a geometry-optimized NbCrC2 structure.

Computed properties:
- symmetry = Fm-3m, No. 225
- formation enthalpy at 0 K (eV/atom) = 0.58
- D(E_F) (states/eV/cell) = 2.469
- energy (eV/atom) = -8.9589

abc: 3.788 3.788 3.788
angles: 60.00 60.00 60.00
Positions (direct):
Nb1 0.500 0.500 0.500
C1 0.750 0.750 0.750
C2 0.250 0.250 0.250
Cr1 0.000 0.000 0.000

DFT (PBE) results for a geometry-optimized BeAuO3 structure.

Computed properties:
- symmetry = Pm-3m, No. 221
- D(E_F) (states/eV/cell) = 1.018
- energy (eV/atom) = -3.7127
- ΔE_f (raw) (eV per atom) = 0.663

abc: 3.959 3.959 3.959
angles: 90.00 90.00 90.00
Positions (direct):
O1 0.000 0.500 0.000
Be1 0.500 0.500 0.500
Au1 0.000 0.000 0.000
O2 0.000 0.000 0.500
O3 0.500 0.000 0.000

DFT (PBE) results for a geometry-optimized Li4YPd7 structure.

Computed properties:
- symmetry = C2/m, No. 12
- formation enthalpy at 0 K (eV/atom) = -0.26
- D(E_F) (states/eV/cell) = 5.702
- energy (eV/atom) = -4.4659

abc: 4.989 8.292 5.722
angles: 79.43 64.16 72.49
Positions (direct):
Pd1 0.500 0.000 0.000
Li1 0.581 0.236 0.603
Li2 0.725 0.677 0.873
Pd2 0.783 0.916 0.518
Pd3 0.655 0.453 0.238
Pd4 0.345 0.547 0.762
Pd5 0.953 0.376 0.717
Pd6 0.217 0.084 0.482
Li3 0.419 0.764 0.397
Pd7 0.047 0.624 0.283
Li4 0.275 0.323 0.127
Y1 0.000 0.000 0.000